Entry from the Alexandria database: a relaxed LiInRe2 crystal (PBE).

a b c (Å): 3.210 3.210 6.082
angles (deg): 90.00 90.00 90.00
Space group P4/mmm (No. 123)
Inequivalent atoms, fractional coordinates:
Li 0.000 0.000 0.000 [1 per cell]
In 0.000 0.000 0.500 [1 per cell]
Re 0.500 0.500 0.192 [2 per cell]

Summary:
Calculated formation energy, kcal/mol of atoms: 15.2

Entry from the Alexandria database: a relaxed AcCd3Sn3 crystal (PBE).

a b c (Å): 10.1632 10.1632 4.5026
angles (deg): 90.00 90.00 120.00
Space group P6_3/m (No. 176)
Inequivalent atoms, fractional coordinates:
Ac 0.3333 0.6667 0.2500 [2 per cell]
Cd 0.1009 0.8612 0.2500 [6 per cell]
Sn 0.0587 0.6173 0.7500 [6 per cell]

Summary:
Calculated formation energy, kcal/mol of atoms: -4.9

Entry from the Alexandria database: a relaxed BePbSe crystal (PBE).

a b c (Å): 3.345 3.345 12.011
angles (deg): 90.00 90.00 90.00
Space group I4mm (No. 107)
Inequivalent atoms, fractional coordinates:
Be 0.000 0.000 0.000 [2 per cell]
Pb 0.000 0.000 0.295 [2 per cell]
Se 0.000 0.000 0.537 [2 per cell]

Summary:
E_form (uncorrected), eV/f.u.: 0.13

Entry from the Alexandria database: a relaxed CdTc3F crystal (PBE).

a b c (Å): 4.907 4.907 4.907
angles (deg): 90.00 90.00 90.00
Space group Pm-3m (No. 221)
Inequivalent atoms, fractional coordinates:
Cd 0.000 0.000 0.000 [1 per cell]
Tc 0.000 0.000 0.500 [3 per cell]
F 0.500 0.500 0.500 [1 per cell]

Summary:
E_form (uncorrected), eV/f.u.: 13.85

Entry from the Alexandria database: a relaxed LaNdPd2 crystal (PBE).

a b c (Å): 4.2295 4.2295 20.8847
angles (deg): 90.00 90.00 120.00
Space group R-3m (No. 166, hexagonal axes)
Inequivalent atoms, fractional coordinates:
La 0.0000 0.0000 0.0000 [3 per cell]
Nd 0.0000 0.0000 0.5000 [3 per cell]
Pd 0.0000 0.0000 0.2495 [6 per cell]

Summary:
Calculated formation energy, kcal/mol of atoms: -16.5

Entry from the Alexandria database: a relaxed CdTc2Ru crystal (PBE).

a b c (Å): 3.876 3.876 4.147
angles (deg): 90.00 90.00 90.00
Space group P4/mmm (No. 123)
Inequivalent atoms, fractional coordinates:
Cd 0.000 0.000 0.000 [1 per cell]
Tc 0.000 0.500 0.500 [2 per cell]
Ru 0.500 0.500 0.000 [1 per cell]

Summary:
Calculated formation energy, kcal/mol of atoms: 12.3

Entry from the Alexandria database: a relaxed KSiAu3 crystal (PBE).

a b c (Å): 11.548 6.882 7.261
angles (deg): 90.00 127.85 90.00
Space group C2/m (No. 12)
Inequivalent atoms, fractional coordinates:
K 0.039 0.000 0.297 [4 per cell]
Si 0.139 0.500 0.652 [4 per cell]
Au 0.022 0.500 0.225 [4 per cell]
Au 0.221 0.293 0.174 [8 per cell]

Summary:
E_form (uncorrected), eV/f.u.: -1.43

Entry from the Alexandria database: a relaxed Rb2NbRuW crystal (PBE).

a b c (Å): 6.252 6.252 4.639
angles (deg): 90.00 90.00 90.00
Space group P4/mmm (No. 123)
Inequivalent atoms, fractional coordinates:
Rb 0.000 0.500 0.000 [2 per cell]
Nb 0.000 0.000 0.500 [1 per cell]
Ru 0.500 0.500 0.000 [1 per cell]
W 0.500 0.500 0.500 [1 per cell]

Summary:
Calculated formation energy, kcal/mol of atoms: 58.0

Entry from the Alexandria database: a relaxed K2ZnF crystal (PBE).

a b c (Å): 3.777 6.760 9.334
angles (deg): 104.32 90.04 90.14
Space group P1 (No. 1)
Inequivalent atoms, fractional coordinates:
K 0.000 0.000 0.000 [1 per cell]
K 0.001 0.171 0.398 [1 per cell]
K 0.502 0.600 0.183 [1 per cell]
K 0.504 0.681 0.583 [1 per cell]
Zn 0.004 0.463 0.839 [1 per cell]
Zn 0.502 0.209 0.742 [1 per cell]
F 0.003 0.559 0.373 [1 per cell]
F 0.500 0.002 0.208 [1 per cell]

Summary:
E_form (uncorrected), eV/f.u.: -5.08

Entry from the Alexandria database: a relaxed K2NiTe crystal (PBE).

a b c (Å): 4.788 4.788 10.002
angles (deg): 90.00 90.00 90.00
Space group I4/mmm (No. 139)
Inequivalent atoms, fractional coordinates:
K 0.000 0.500 0.250 [4 per cell]
Ni 0.000 0.000 0.000 [2 per cell]
Te 0.000 0.000 0.500 [2 per cell]

Summary:
E_form (uncorrected), eV/f.u.: 0.24

Entry from the Alexandria database: a relaxed ReAuI2O crystal (PBE).

a b c (Å): 5.752 5.752 3.997
angles (deg): 90.00 90.00 90.00
Space group P4/mmm (No. 123)
Inequivalent atoms, fractional coordinates:
Re 0.000 0.000 0.000 [1 per cell]
Au 0.500 0.500 0.500 [1 per cell]
I 0.000 0.500 0.500 [2 per cell]
O 0.500 0.500 0.000 [1 per cell]

Summary:
E_form (uncorrected), eV/f.u.: 6.49

Entry from the Alexandria database: a relaxed ScH3Pt crystal (PBE).

a b c (Å): 4.984 2.978 7.165
angles (deg): 90.00 96.08 90.00
Space group P2/m (No. 10)
Inequivalent atoms, fractional coordinates:
Sc 0.222 0.000 0.322 [2 per cell]
H 0.000 0.500 0.500 [1 per cell]
H 0.022 0.500 0.840 [2 per cell]
H 0.414 0.500 0.164 [2 per cell]
H 0.500 0.500 0.500 [1 per cell]
Pt 0.279 0.500 0.694 [2 per cell]

Summary:
Total DFT energy (no corrections), eV/atom: -4.9000

Q: Number 1 is which compound?
A: LiInRe2

What did the fourth record say?
Entry from the Alexandria database: a relaxed CdTc3F crystal (PBE).

a b c (Å): 4.907 4.907 4.907
angles (deg): 90.00 90.00 90.00
Space group Pm-3m (No. 221)
Inequivalent atoms, fractional coordinates:
Cd 0.000 0.000 0.000 [1 per cell]
Tc 0.000 0.000 0.500 [3 per cell]
F 0.500 0.500 0.500 [1 per cell]

Summary:
E_form (uncorrected), eV/f.u.: 13.85